Density functional theory data (PBE-GGA) for crystalline LiHo5Ru4 at its relaxed geometry. Values from VASP.

```
&SYSTEM
  ibrav = 0, nat = 10, ntyp = 3
/
ATOMIC_SPECIES
Ho 164.93 Ho.upf
Ru 101.07 Ru.upf
Li 6.94 Li.upf
CELL_PARAMETERS angstrom
3.3966 0.0000 0.0000
0.0000 3.3966 0.0000
0.0000 0.0000 18.0745
ATOMIC_POSITIONS angstrom
Ho 1.6983 1.6983 15.7357
Ru 0.0000 0.0000 3.8653
Ru 0.0000 0.0000 10.7349
Ho 1.6983 1.6983 9.0372
Ho 1.6983 1.6983 5.6779
Ru 0.0000 0.0000 7.3396
Ru 0.0000 0.0000 14.2092
Li 0.0000 0.0000 0.0000
Ho 1.6983 1.6983 2.3387
Ho 1.6983 1.6983 12.3965
```

- calculated total energy (eV/atom) = -6.525

=====

Density functional theory data (PBE-GGA) for crystalline LiHo4Ru2 at its relaxed geometry. Values from VASP.

```
&SYSTEM
  ibrav = 0, nat = 7, ntyp = 3
/
ATOMIC_SPECIES
Ho 164.93 Ho.upf
Ru 101.07 Ru.upf
Li 6.94 Li.upf
CELL_PARAMETERS angstrom
-3.4385 -0.4969 3.3883
-2.9735 -3.8338 -0.1045
2.8172 -5.4075 5.5414
ATOMIC_POSITIONS angstrom
Ho -3.5941 -3.4317 2.8001
Ho -4.5003 -5.8602 4.9996
Ho 0.9054 -3.8780 3.8255
Ru -0.9377 -2.4033 2.1713
Ru -2.6572 -7.3349 6.6538
Li 0.0000 0.0000 0.0000
Ho -0.0008 -6.3065 6.0251
```

- distance to the lowest polymorph of the same formula (eV per formula unit) = 0.00

=====

Density functional theory data (PBE-GGA) for crystalline LiHo4Ru3 at its relaxed geometry. Values from VASP.

```
&SYSTEM
  ibrav = 0, nat = 8, ntyp = 3
/
ATOMIC_SPECIES
Ho 164.93 Ho.upf
Ru 101.07 Ru.upf
Li 6.94 Li.upf
CELL_PARAMETERS angstrom
-0.4404 -1.0550 4.6759
3.9366 -2.7588 -0.2517
2.1825 7.3773 -0.6077
ATOMIC_POSITIONS angstrom
Ho 2.9077 4.0460 1.1867
Ho 4.6564 2.1387 3.3988
Ru 3.9472 1.3747 0.6819
Li -0.2202 -0.5275 2.3380
Ru 1.9683 -1.3794 -0.1258
Ho 1.0223 1.4248 0.4177
Ru 1.7314 2.1888 3.1346
Ho 2.7709 -0.4824 2.6299
```

- calculated total energy (eV/atom) = -6.356

=====

Density functional theory data (PBE-GGA) for crystalline LiHo7Ru4 at its relaxed geometry. Values from VASP.

```
&SYSTEM
  ibrav = 0, nat = 12, ntyp = 3
/
ATOMIC_SPECIES
Ru 101.07 Ru.upf
Ho 164.93 Ho.upf
Li 6.94 Li.upf
CELL_PARAMETERS angstrom
-0.3990 -3.8975 3.3849
-1.6357 -6.9427 -4.2270
6.3313 -3.7206 0.4223
ATOMIC_POSITIONS angstrom
Ru 4.6383 -10.7898 0.0026
Ho 0.8871 -6.2854 0.7870
Ho -0.1995 -1.9487 1.6925
Ho 0.1953 -5.5202 -2.3732
Li 0.0000 0.0000 0.0000
Ru 3.5489 -6.1407 1.2674
Ho 4.1013 -9.0405 1.9534
Ho 1.7919 -11.1988 -0.8039
Ho 2.5046 -3.3619 0.3841
Ru 0.7476 -8.4200 -1.6872
Ru -0.3417 -3.7709 -0.4224
Ho 3.4094 -8.2753 -1.2068
```

- calculated total energy (eV/atom) = -6.069

=====

Density functional theory data (PBE-GGA) for crystalline LiHo3Ru at its relaxed geometry. Values from VASP.

```
&SYSTEM
  ibrav = 0, nat = 20, ntyp = 3
/
ATOMIC_SPECIES
Li 6.94 Li.upf
Ho 164.93 Ho.upf
Ru 101.07 Ru.upf
CELL_PARAMETERS angstrom
-1.2845 -2.1949 -6.2641
-3.5246 -5.7613 -0.3023
-12.6862 3.3524 -2.7613
ATOMIC_POSITIONS angstrom
Li -10.3494 -0.8825 -5.5947
Ho -6.1762 -0.7169 -3.3748
Ho -4.6625 -5.0641 -5.4066
Li -12.8984 -1.1050 -6.6855
Ru -5.0856 -2.3592 -5.2788
Ho -12.8328 0.4602 -3.9213
Ho -14.5796 -3.9822 -7.6298
Ho -7.5742 -1.8953 -6.3594
Ho -8.1209 -5.4744 -6.5568
Ho -11.3191 -3.8869 -5.9530
Li -4.5969 -3.4989 -2.6423
Ru -12.4096 -2.2446 -4.0490
Ho -9.9211 -2.7086 -2.9684
Ho -2.9157 -0.6216 -1.6980
Ho -15.1103 -2.1183 -4.5651
Ru -8.1054 -1.2045 -1.5318
Li -7.1459 -3.7214 -3.7332
Ru -0.6422 -1.0975 -3.1321
Ho -9.3744 0.8706 -2.7710
Ho -2.3850 -2.4855 -4.7627
```

- distance to the lowest polymorph of the same formula (eV per formula unit) = 0.00

=====

Density functional theory data (PBE-GGA) for crystalline LiHo3Ru at its relaxed geometry. Values from VASP.

```
&SYSTEM
  ibrav = 0, nat = 5, ntyp = 3
/
ATOMIC_SPECIES
Ho 164.93 Ho.upf
Li 6.94 Li.upf
Ru 101.07 Ru.upf
CELL_PARAMETERS angstrom
5.3569 0.0000 0.0000
0.0000 5.3569 0.0000
0.0000 0.0000 5.3569
ATOMIC_POSITIONS angstrom
Ho 0.0000 2.6784 0.0000
Ho 2.6784 0.0000 0.0000
Li 2.6784 2.6784 2.6784
Ho 0.0000 0.0000 2.6784
Ru 0.0000 0.0000 0.0000
```

- distance to the lowest polymorph of the same formula (eV per formula unit) = 0.33

=====

Density functional theory data (PBE-GGA) for crystalline LiHoRu at its relaxed geometry. Values from VASP.

```
&SYSTEM
  ibrav = 0, nat = 3, ntyp = 3
/
ATOMIC_SPECIES
Li 6.94 Li.upf
Ru 101.07 Ru.upf
Ho 164.93 Ho.upf
CELL_PARAMETERS angstrom
-0.1636 -1.9003 -2.8884
2.5879 -1.9848 1.1592
-4.1555 -0.7596 2.8091
ATOMIC_POSITIONS angstrom
Li 0.4056 -2.6829 -0.3318
Ru -1.6007 -1.4696 1.0575
Ho -1.3843 -4.3262 0.8507
```

- distance to the lowest polymorph of the same formula (eV per formula unit) = 0.07

=====

Density functional theory data (PBE-GGA) for crystalline LiHoRu at its relaxed geometry. Values from VASP.

```
&SYSTEM
  ibrav = 0, nat = 6, ntyp = 3
/
ATOMIC_SPECIES
Ru 101.07 Ru.upf
Ho 164.93 Ho.upf
Li 6.94 Li.upf
CELL_PARAMETERS angstrom
-5.0232 0.6236 -2.4689
3.2230 -1.5063 -4.3675
0.0090 -2.9945 3.3985
ATOMIC_POSITIONS angstrom
Ru 0.0000 0.0000 0.0000
Ho -1.4182 -2.2151 1.0639
Li -3.2377 -0.9232 -3.8431
Li 1.4465 -2.9540 0.4052
Ru -0.8956 -1.9386 -1.7189
Ho -0.3731 -1.6620 -4.5018
```

- distance to the lowest polymorph of the same formula (eV per formula unit) = 0.00

=====

Repeat the sixth record exactly.
Density functional theory data (PBE-GGA) for crystalline LiHo3Ru at its relaxed geometry. Values from VASP.

```
&SYSTEM
  ibrav = 0, nat = 5, ntyp = 3
/
ATOMIC_SPECIES
Ho 164.93 Ho.upf
Li 6.94 Li.upf
Ru 101.07 Ru.upf
CELL_PARAMETERS angstrom
5.3569 0.0000 0.0000
0.0000 5.3569 0.0000
0.0000 0.0000 5.3569
ATOMIC_POSITIONS angstrom
Ho 0.0000 2.6784 0.0000
Ho 2.6784 0.0000 0.0000
Li 2.6784 2.6784 2.6784
Ho 0.0000 0.0000 2.6784
Ru 0.0000 0.0000 0.0000
```

- distance to the lowest polymorph of the same formula (eV per formula unit) = 0.33

=====

Copy entry 4 word for word.
Density functional theory data (PBE-GGA) for crystalline LiHo7Ru4 at its relaxed geometry. Values from VASP.

```
&SYSTEM
  ibrav = 0, nat = 12, ntyp = 3
/
ATOMIC_SPECIES
Ru 101.07 Ru.upf
Ho 164.93 Ho.upf
Li 6.94 Li.upf
CELL_PARAMETERS angstrom
-0.3990 -3.8975 3.3849
-1.6357 -6.9427 -4.2270
6.3313 -3.7206 0.4223
ATOMIC_POSITIONS angstrom
Ru 4.6383 -10.7898 0.0026
Ho 0.8871 -6.2854 0.7870
Ho -0.1995 -1.9487 1.6925
Ho 0.1953 -5.5202 -2.3732
Li 0.0000 0.0000 0.0000
Ru 3.5489 -6.1407 1.2674
Ho 4.1013 -9.0405 1.9534
Ho 1.7919 -11.1988 -0.8039
Ho 2.5046 -3.3619 0.3841
Ru 0.7476 -8.4200 -1.6872
Ru -0.3417 -3.7709 -0.4224
Ho 3.4094 -8.2753 -1.2068
```

- calculated total energy (eV/atom) = -6.069